# 1
This record from Alexandria describes a relaxed structure of CdGa2Ag7. The functional is GGA-PBE. Values from VASP.

```
&SYSTEM
  ibrav = 0, nat = 10, ntyp = 3
/
ATOMIC_SPECIES
Cd 112.41 Cd.upf
Ga 69.72 Ga.upf
Ag 107.87 Ag.upf
ATOMIC_POSITIONS angstrom
Cd 0.0000 0.0000 0.0000
Ga 2.7836 4.7572 1.4362
Ga 2.7836 -4.7572 1.4362
Ag 1.3795 2.4300 1.4362
Ag 2.7836 7.0999 0.0000
Ag 1.3795 -2.4300 1.4362
Ag 2.7836 0.0000 1.4362
Ag 4.1876 2.4300 1.4362
Ag 2.7836 -7.0999 0.0000
Ag 4.1876 -2.4300 1.4362
CELL_PARAMETERS angstrom
2.7836 -11.7308 0.0000
2.7836 11.7308 0.0000
0.0000 0.0000 2.8725
```

Values from the calculation:
energy relative to the lowest polymorph listed for this composition	0.0000	eV/atom
calculated formation energy	47	meV per atom
space-group type	Cmmm (65)



# 2
This record from Alexandria describes a relaxed structure of CdGaAg6. The functional is GGA-PBE. Values from VASP.

```
&SYSTEM
  ibrav = 0, nat = 8, ntyp = 3
/
ATOMIC_SPECIES
Cd 112.41 Cd.upf
Ga 69.72 Ga.upf
Ag 107.87 Ag.upf
ATOMIC_POSITIONS angstrom
Cd 0.0000 0.0000 0.0000
Ga 0.0000 0.0000 4.1584
Ag 0.0000 2.0813 2.1304
Ag 0.0000 2.0813 6.1864
Ag 2.0813 0.0000 2.1304
Ag 2.0813 0.0000 6.1864
Ag 2.0813 2.0813 0.0000
Ag 2.0813 2.0813 4.1584
CELL_PARAMETERS angstrom
4.1626 0.0000 0.0000
0.0000 4.1626 0.0000
0.0000 0.0000 8.3168
```

Values from the calculation:
energy relative to the lowest polymorph listed for this composition	0.0000	eV/atom
calculated formation energy	-15	meV per atom
space-group type	P4/mmm (123)



no.,magnetization (μB/cell)
1,0.0
2,0.0